Cs2K4Au2O after structural relaxation. Source: the Alexandria database, functional PBE.

Values from the calculation:
E = -43.5 eV per cell
M_tot = 0.0 Bohr magnetons per cell
Fermi-level density of states = 10.103 states/eV per cell

abc: 7.8401 7.8401 11.9799
angles: 90.00 90.00 90.00
Closest atoms and distances in Å follow each position.
Space group I4/mmm (No. 139)
Inequivalent atoms, fractional coordinates:
Cs 0.0000 0.0000 0.2369 x4  1 O 2.84
K 0.2322 0.2322 0.0000 x8  1 O 2.57
Au 0.0000 0.5000 0.2500 x4  4 Cs 3.92, 8 K 4.09
O 0.0000 0.0000 0.0000 x2  4 K 2.57, 2 Cs 2.84